{"formula": "VCr3F", "functional": "PBE with a Hubbard U", "state": "relaxed", "total_energy_ev_per_atom": -5.10, "magmom_total_mub_per_fu": 10.73, "vol_a3_per_atom": 23.991, "lattice_angstrom": [[4.932, 0.000, 0.000], [0.000, 4.932, 0.000], [0.000, 0.000, 4.932]], "species": ["Cr", "Cr", "Cr", "V", "F"], "frac_coords": [[0.000, 0.500, 0.000], [0.000, 0.000, 0.500], [0.500, 0.000, 0.000], [0.000, 0.000, 0.000], [0.500, 0.500, 0.500]]}